Sc4In2Ag: relaxed, PBE.

```
7
Lattice="4.700 0.000 1.469 2.121 4.195 1.469 -0.070 -0.043 8.480" Properties=species:S:1:pos:R:3 pbc="T T T"
Sc 5.927 3.645 5.800
Sc 0.825 0.507 5.617
Sc 4.231 2.602 2.972
Sc 2.521 1.550 8.445
In 5.065 3.115 8.559
In 1.687 1.037 2.858
Ag 0.000 0.000 0.000
```

Properties
spin magnetization = 0.00 μB per atom
N(E_F) = 6.30 states/eV/cell
ΔE_f = -1.596 eV per formula unit
calculated total energy = -35.3 eV per cell
symmetry = R-3m (166)